(1)
HgP2Cl after structural relaxation, computed with PBEsol.

Cell lengths 12.8943, 3.2402, 4.4328 Å; angles 90.00, 101.80, 90.00 degrees
Space group C2/m (No. 12)
One atom of each set of equivalent atoms:
Hg1 0.0000 0.0000 0.0000
P1 0.2220 0.5000 0.1208
Cl1 0.0000 0.5000 0.5000


(2)
HgPCl2 after structural relaxation, computed with PBEsol.

Cell lengths 3.0874, 3.3203, 9.1111 Å; angles 90.00, 90.28, 90.00 degrees
Space group P2/m (No. 10)
One atom of each set of equivalent atoms:
Hg1 0.0000 0.0000 0.0000
P1 0.5000 0.0000 0.5000
Cl1 0.4956 0.5000 0.3135


(3)
Hg4PCl after structural relaxation, computed with PBEsol.

Cell lengths 8.1174, 8.1174, 8.1174 Å; angles 90.00, 90.00, 90.00 degrees
Space group F-43m (No. 216)
One atom of each set of equivalent atoms:
Hg1 0.1250 0.1250 0.1250
P1 0.2500 0.2500 0.7500
Cl1 0.0000 0.0000 0.5000


(4)
HgP2Cl after structural relaxation, computed with PBEsol.

Cell lengths 5.2383, 5.2383, 5.4598 Å; angles 90.00, 90.00, 90.00 degrees
Space group I4/mmm (No. 139)
One atom of each set of equivalent atoms:
Hg1 0.0000 0.0000 0.0000
P1 0.0000 0.5000 0.0000
Cl1 0.0000 0.0000 0.5000


(5)
HgPCl2 after structural relaxation, computed with PBEsol.

Cell lengths 7.8499, 3.7133, 7.4481 Å; angles 90.00, 92.64, 90.00 degrees
Space group Cm (No. 8)
One atom of each set of equivalent atoms:
Hg1 0.0000 0.0000 0.0000
P1 0.3027 0.0000 0.8800
Cl1 0.0755 0.5000 0.2457
Cl2 0.2872 0.0000 0.6088


(6)
HgP2Cl after structural relaxation, computed with PBEsol.

Cell lengths 3.8933, 3.8933, 18.4711 Å; angles 90.00, 90.00, 120.00 degrees
Space group R-3m (No. 166, hexagonal axes)
One atom of each set of equivalent atoms:
Hg1 0.0000 0.0000 0.0000
P1 0.0000 0.0000 0.2676
Cl1 0.0000 0.0000 0.5000


(7)
Hg2P3Cl after structural relaxation, computed with PBEsol.

Cell lengths 7.8426, 8.8123, 7.5630 Å; angles 90.00, 98.86, 90.00 degrees
Space group C2/c (No. 15)
One atom of each set of equivalent atoms:
Hg1 0.2276 0.1366 0.1700
P1 0.0000 0.3041 0.2500
P2 0.1190 0.4430 0.4775
Cl1 0.0000 0.1293 0.7500


(8)
HgPCl2 after structural relaxation, computed with PBEsol.

Cell lengths 3.0442, 3.0442, 8.9019 Å; angles 90.00, 90.00, 90.00 degrees
Space group P4/mmm (No. 123)
One atom of each set of equivalent atoms:
Hg1 0.0000 0.0000 0.0000
P1 0.0000 0.0000 0.5000
Cl1 0.5000 0.5000 0.3174


(9)
HgPCl2 after structural relaxation, computed with PBEsol.

Cell lengths 6.0101, 7.5013, 7.5376 Å; angles 90.00, 90.00, 90.00 degrees
Space group Fmmm (No. 69)
One atom of each set of equivalent atoms:
Hg1 0.0000 0.0000 0.0000
P1 0.0000 0.0000 0.5000
Cl1 0.0000 0.2500 0.2500


(10)
HgP2Cl after structural relaxation, computed with PBEsol.

Cell lengths 3.2978, 7.0662, 8.4077 Å; angles 90.00, 90.00, 90.00 degrees
Space group Cmm2 (No. 35)
One atom of each set of equivalent atoms:
Hg1 0.0000 0.0000 0.0000
P1 0.0000 0.0000 0.4320
P2 0.0000 0.5000 0.2678
Cl1 0.0000 0.5000 0.7621


(11)
Hg3P2Cl2 after structural relaxation, computed with PBEsol.

Cell lengths 12.5814, 10.4596, 11.8025 Å; angles 90.00, 107.77, 90.00 degrees
Space group P2_1/c (No. 14)
One atom of each set of equivalent atoms:
Hg1 0.0063 0.0482 0.2500
Hg2 0.1033 0.7472 0.0377
Hg3 0.2182 0.1118 0.6237
Hg4 0.2422 0.0765 0.0235
Hg5 0.3500 0.7270 0.8683
Hg6 0.4316 0.2088 0.3474
P1 0.0625 0.5321 0.0800
P2 0.0633 0.5381 0.4643
P3 0.3686 0.2433 0.1312
P4 0.4685 0.1328 0.5505
Cl1 0.1434 0.6821 0.8026
Cl2 0.1696 0.2169 0.3108
Cl3 0.3265 0.5155 0.3490
Cl4 0.3288 0.7038 0.6168


(12)
Hg6P4PbCl6 after structural relaxation, computed with PBEsol.

Cell lengths 11.8934, 11.8934, 11.8934 Å; angles 90.00, 90.00, 90.00 degrees
Space group P2_13 (No. 198)
One atom of each set of equivalent atoms:
Hg1 0.0125 0.2320 0.7194
Hg2 0.0140 0.2739 0.2186
P1 0.1841 0.6841 0.8159
P2 0.1853 0.8147 0.3147
P3 0.2090 0.2910 0.7090
P4 0.2097 0.2097 0.2097
Pb1 0.0205 0.0205 0.0205
Cl1 0.0141 0.2899 0.4595
Cl2 0.0174 0.2629 0.9557


(13)
HgPPtCl2 after structural relaxation, computed with PBEsol.

Cell lengths 4.8761, 4.8761, 5.1346 Å; angles 90.00, 90.00, 90.00 degrees
Space group P4/mmm (No. 123)
One atom of each set of equivalent atoms:
Hg1 0.0000 0.0000 0.0000
P1 0.0000 0.0000 0.5000
Pt1 0.5000 0.5000 0.5000
Cl1 0.0000 0.5000 0.0000


(14)
HgPSCl2 after structural relaxation, computed with PBEsol.

Cell lengths 4.6565, 4.6565, 4.8230 Å; angles 90.00, 90.00, 90.00 degrees
Space group P4/mmm (No. 123)
One atom of each set of equivalent atoms:
Hg1 0.0000 0.0000 0.0000
P1 0.5000 0.5000 0.0000
S1 0.5000 0.5000 0.5000
Cl1 0.0000 0.5000 0.5000


(15)
HgPSCl2 after structural relaxation, computed with PBEsol.

Cell lengths 4.9705, 4.9705, 5.1820 Å; angles 90.00, 90.00, 90.00 degrees
Space group P4/mmm (No. 123)
One atom of each set of equivalent atoms:
Hg1 0.0000 0.0000 0.0000
P1 0.0000 0.0000 0.5000
S1 0.5000 0.5000 0.5000
Cl1 0.0000 0.5000 0.0000


(16)
HgSbPCl2 after structural relaxation, computed with PBEsol.

Cell lengths 5.1030, 5.1030, 5.2411 Å; angles 90.00, 90.00, 90.00 degrees
Space group P4/mmm (No. 123)
One atom of each set of equivalent atoms:
Hg1 0.0000 0.0000 0.0000
Sb1 0.5000 0.5000 0.5000
P1 0.5000 0.5000 0.0000
Cl1 0.0000 0.5000 0.5000


(17)
TiHg6P4Cl7 after structural relaxation, computed with PBEsol.

Cell lengths 11.7363, 11.7363, 11.7363 Å; angles 90.00, 90.00, 90.00 degrees
Space group Pa-3 (No. 205)
One atom of each set of equivalent atoms:
Ti1 0.0000 0.0000 0.0000
Hg1 0.0428 0.1896 0.6995
P1 0.1584 0.6584 0.8416
P2 0.2330 0.2330 0.2330
Cl1 0.0000 0.0000 0.5000
Cl2 0.0389 0.5459 0.3055


(18)
HgPbCl2 after structural relaxation, computed with PBEsol.

Cell lengths 4.8220, 4.8220, 4.1516 Å; angles 90.00, 90.00, 90.00 degrees
Space group P4/mmm (No. 123)
One atom of each set of equivalent atoms:
Hg1 0.0000 0.0000 0.0000
Pb1 0.5000 0.5000 0.0000
Cl1 0.0000 0.5000 0.5000


| no. | E (eV/cell) | volume (Å³/cell) |
| --- | --- | --- |
| 1 | -26.883 | 181.3 |
| 2 | -10.825 | 93.4 |
| 3 | -31.619 | 534.9 |
| 4 | -25.425 | 149.8 |
| 5 | -22.362 | 216.9 |
| 6 | -37.149 | 242.5 |
| 7 | -86.801 | 516.5 |
| 8 | -9.299 | 82.5 |
| 9 | -38.432 | 339.8 |
| 10 | -26.395 | 195.9 |
| 11 | -153.937 | 1479.1 |
| 12 | -203.106 | 1682.4 |
| 13 | -11.460 | 122.1 |
| 14 | -12.855 | 104.6 |
| 15 | -10.669 | 128.0 |
| 16 | -14.218 | 136.5 |
| 17 | -240.307 | 1616.6 |
| 18 | -10.723 | 96.5 |